[1]
A plane-wave DFT calculation with PBE-GGA was carried out for a relaxed RbHfTe3Au crystal.

Unit cell a=11.4627 b=4.1864 c=15.9976 alpha=90.00 beta=90.00 gamma=90.00
Positions (direct):
Rb: 0.2242 0.2500 0.0074
Rb: 0.2758 0.7500 0.5074
Rb: 0.7242 0.2500 0.4926
Rb: 0.7758 0.7500 0.9926
Hf: 0.0508 0.7500 0.7453
Hf: 0.4492 0.2500 0.2453
Hf: 0.5508 0.7500 0.7547
Hf: 0.9492 0.2500 0.2547
Te: 0.0280 0.7500 0.1383
Te: 0.0442 0.2500 0.6157
Te: 0.2232 0.2500 0.3169
Te: 0.2768 0.7500 0.8169
Te: 0.4558 0.7500 0.1157
Te: 0.4720 0.2500 0.6383
Te: 0.5280 0.7500 0.3617
Te: 0.5442 0.2500 0.8843
Te: 0.7232 0.2500 0.1831
Te: 0.7768 0.7500 0.6831
Te: 0.9558 0.7500 0.3843
Te: 0.9720 0.2500 0.8617
Au: 0.2445 0.2500 0.7033
Au: 0.2555 0.7500 0.2033
Au: 0.7445 0.2500 0.7967
Au: 0.7555 0.7500 0.2967

[2]
A plane-wave DFT calculation with PBE-GGA was carried out for a relaxed TlZnTeF crystal.

## Properties
Energy above the lowest structure with this stoichiometry in eV/atom: 0.019

Unit cell a=6.5869 b=7.4060 c=8.0919 alpha=90.00 beta=90.00 gamma=90.00
Positions (direct):
Tl: 0.0691 0.0098 0.2016
Tl: 0.4309 0.9902 0.7016
Tl: 0.5691 0.4902 0.7984
Tl: 0.9309 0.5098 0.2984
Zn: 0.0410 0.6759 0.8617
Zn: 0.4590 0.3241 0.3617
Zn: 0.5410 0.8241 0.1383
Zn: 0.9590 0.1759 0.6383
Te: 0.1038 0.3348 0.8924
Te: 0.3962 0.6652 0.3924
Te: 0.6038 0.1652 0.1076
Te: 0.8962 0.8348 0.6076
F: 0.1878 0.2292 0.4576
F: 0.3122 0.7708 0.9576
F: 0.6878 0.2708 0.5424
F: 0.8122 0.7292 0.0424

[3]
A plane-wave DFT calculation with PBE-GGA was carried out for a relaxed LiYTlAg crystal.

## Properties
Energy above the lowest structure with this stoichiometry in eV/atom: 0.060

Unit cell a=7.0012 b=7.0012 c=7.0012 alpha=90.00 beta=90.00 gamma=90.00
Positions (direct):
Li: 0.0000 0.0000 0.0000
Li: 0.0000 0.5000 0.5000
Li: 0.5000 0.0000 0.5000
Li: 0.5000 0.5000 0.0000
Y: 0.2500 0.2500 0.2500
Y: 0.2500 0.7500 0.7500
Y: 0.7500 0.2500 0.7500
Y: 0.7500 0.7500 0.2500
Tl: 0.0000 0.0000 0.5000
Tl: 0.0000 0.5000 0.0000
Tl: 0.5000 0.0000 0.0000
Tl: 0.5000 0.5000 0.5000
Ag: 0.2500 0.2500 0.7500
Ag: 0.2500 0.7500 0.2500
Ag: 0.7500 0.2500 0.2500
Ag: 0.7500 0.7500 0.7500

[4]
A plane-wave DFT calculation with PBE-GGA was carried out for a relaxed Ga2CuNiPt4 crystal.

Unit cell a=4.4419 b=4.4419 c=5.7670 alpha=90.00 beta=90.00 gamma=90.00
Positions (direct):
Ga: 0.0000 0.0000 0.0000
Ga: 0.5000 0.5000 0.5000
Cu: 0.0000 0.0000 0.5000
Ni: 0.5000 0.5000 0.0000
Pt: 0.0000 0.5000 0.2475
Pt: 0.0000 0.5000 0.7525
Pt: 0.5000 0.0000 0.2475
Pt: 0.5000 0.0000 0.7525

Number 1: calculated total energy -4.669 eV/atom. Number 2: calculated total energy -3.181 eV/atom. Number 3: calculated total energy -3.629 eV/atom. Number 4: calculated total energy -5.369 eV/atom.